1.
# RePtO6 GGA-PBE optimized geometry
data_RePtO6
_chemical_formula_sum 'Re1 Pt1 O6'
_cell_length_a 5.460
_cell_length_b 5.460
_cell_length_c 4.854
_cell_angle_alpha 95.69
_cell_angle_beta 95.69
_cell_angle_gamma 127.31
_symmetry_space_group_name_H-M 'P 1'
_symmetry_Int_Tables_number 1
loop_
_symmetry_equiv_pos_as_xyz
'x,y,z'
loop_
_atom_site_label
_atom_site_type_symbol
_atom_site_fract_x
_atom_site_fract_y
_atom_site_fract_z
_atom_site_occupancy
Re1 Re 0.000 0.000 0.000 1
Pt1 Pt 0.500 0.500 0.500 1
O1 O 0.111 0.368 0.235 1
O2 O 0.243 0.243 0.750 1
O3 O 0.368 0.111 0.235 1
O4 O 0.632 0.889 0.765 1
O5 O 0.757 0.757 0.250 1
O6 O 0.889 0.632 0.765 1
# - DOS(E_F): 0.5304 states/eV/atom
# - Uncorrected formation energy: -709 meV per atom
# - E_tot: -6.739 eV/atom

---

2.
# RePt2O6 GGA-PBE optimized geometry
data_RePt2O6
_chemical_formula_sum 'Re2 Pt4 O12'
_cell_length_a 4.630
_cell_length_b 4.630
_cell_length_c 9.682
_cell_angle_alpha 90.00
_cell_angle_beta 90.00
_cell_angle_gamma 90.00
_symmetry_space_group_name_H-M 'P 1'
_symmetry_Int_Tables_number 1
loop_
_symmetry_equiv_pos_as_xyz
'x,y,z'
loop_
_atom_site_label
_atom_site_type_symbol
_atom_site_fract_x
_atom_site_fract_y
_atom_site_fract_z
_atom_site_occupancy
Re1 Re 0.000 0.000 0.000 1
Re2 Re 0.500 0.500 0.500 1
Pt1 Pt 0.000 0.000 0.333 1
Pt2 Pt 0.000 0.000 0.667 1
Pt3 Pt 0.500 0.500 0.167 1
Pt4 Pt 0.500 0.500 0.833 1
O1 O 0.187 0.187 0.161 1
O2 O 0.187 0.187 0.839 1
O3 O 0.205 0.205 0.500 1
O4 O 0.295 0.705 0.000 1
O5 O 0.313 0.687 0.339 1
O6 O 0.313 0.687 0.661 1
O7 O 0.687 0.313 0.339 1
O8 O 0.687 0.313 0.661 1
O9 O 0.705 0.295 0.000 1
O10 O 0.795 0.795 0.500 1
O11 O 0.813 0.813 0.161 1
O12 O 0.813 0.813 0.839 1
# - DOS(E_F): 0.5298 states/eV/atom
# - Uncorrected formation energy: -783 meV per atom
# - E_tot: -6.814 eV/atom

---

3.
# RePtO GGA-PBE optimized geometry
data_RePtO
_chemical_formula_sum 'Re2 Pt2 O2'
_cell_length_a 5.685
_cell_length_b 5.685
_cell_length_c 5.703
_cell_angle_alpha 109.09
_cell_angle_beta 109.09
_cell_angle_gamma 28.19
_symmetry_space_group_name_H-M 'P 1'
_symmetry_Int_Tables_number 1
loop_
_symmetry_equiv_pos_as_xyz
'x,y,z'
loop_
_atom_site_label
_atom_site_type_symbol
_atom_site_fract_x
_atom_site_fract_y
_atom_site_fract_z
_atom_site_occupancy
Re1 Re 0.000 0.000 0.220 1
Re2 Re 0.000 0.000 0.780 1
Pt1 Pt 0.335 0.335 0.404 1
Pt2 Pt 0.665 0.665 0.596 1
O1 O 0.149 0.149 0.093 1
O2 O 0.851 0.851 0.907 1
# - DOS(E_F): 0.5398 states/eV/atom
# - Uncorrected formation energy: -362 meV per atom
# - E_tot: -8.178 eV/atom

---

4.
# PtRhO3 GGA-PBE optimized geometry
data_PtRhO3
_chemical_formula_sum 'Pt2 Rh2 O6'
_cell_length_a 5.079
_cell_length_b 5.079
_cell_length_c 5.345
_cell_angle_alpha 90.00
_cell_angle_beta 90.00
_cell_angle_gamma 120.00
_symmetry_space_group_name_H-M 'P 1'
_symmetry_Int_Tables_number 1
loop_
_symmetry_equiv_pos_as_xyz
'x,y,z'
loop_
_atom_site_label
_atom_site_type_symbol
_atom_site_fract_x
_atom_site_fract_y
_atom_site_fract_z
_atom_site_occupancy
Pt1 Pt 0.000 0.000 0.250 1
Pt2 Pt 0.000 0.000 0.750 1
Rh1 Rh 0.333 0.667 0.250 1
Rh2 Rh 0.667 0.333 0.750 1
O1 O 0.000 0.323 0.500 1
O2 O 0.000 0.677 0.000 1
O3 O 0.323 0.000 0.500 1
O4 O 0.323 0.323 0.000 1
O5 O 0.677 0.000 0.000 1
O6 O 0.677 0.677 0.500 1
# - DOS(E_F): 0.8645 states/eV/atom
# - Uncorrected formation energy: -108 meV per atom
# - E_tot: -5.761 eV/atom

---

5.
# Pt2Rh2O5 GGA-PBE optimized geometry
data_Pt2Rh2O5
_chemical_formula_sum 'Pt2 Rh2 O5'
_cell_length_a 3.516
_cell_length_b 3.516
_cell_length_c 9.052
_cell_angle_alpha 90.00
_cell_angle_beta 90.00
_cell_angle_gamma 90.00
_symmetry_space_group_name_H-M 'P 1'
_symmetry_Int_Tables_number 1
loop_
_symmetry_equiv_pos_as_xyz
'x,y,z'
loop_
_atom_site_label
_atom_site_type_symbol
_atom_site_fract_x
_atom_site_fract_y
_atom_site_fract_z
_atom_site_occupancy
Pt1 Pt 0.000 0.000 0.000 1
Pt2 Pt 0.000 0.000 0.500 1
Rh1 Rh 0.500 0.500 0.233 1
Rh2 Rh 0.500 0.500 0.767 1
O1 O 0.000 0.500 0.355 1
O2 O 0.000 0.500 0.645 1
O3 O 0.500 0.000 0.355 1
O4 O 0.500 0.000 0.645 1
O5 O 0.500 0.500 0.000 1
# - DOS(E_F): 0.8943 states/eV/atom
# - Uncorrected formation energy: 213 meV per atom
# - E_tot: -5.518 eV/atom

---

6.
# PtRh2O GGA-PBE optimized geometry
data_PtRh2O
_chemical_formula_sum 'Pt2 Rh4 O2'
_cell_length_a 6.898
_cell_length_b 6.898
_cell_length_c 6.898
_cell_angle_alpha 140.28
_cell_angle_beta 140.28
_cell_angle_gamma 57.43
_symmetry_space_group_name_H-M 'P 1'
_symmetry_Int_Tables_number 1
loop_
_symmetry_equiv_pos_as_xyz
'x,y,z'
loop_
_atom_site_label
_atom_site_type_symbol
_atom_site_fract_x
_atom_site_fract_y
_atom_site_fract_z
_atom_site_occupancy
Pt1 Pt 0.000 0.000 0.000 1
Pt2 Pt 0.750 0.250 0.500 1
Rh1 Rh 0.248 0.625 0.123 1
Rh2 Rh 0.375 0.498 0.623 1
Rh3 Rh 0.502 0.125 0.877 1
Rh4 Rh 0.875 0.752 0.377 1
O1 O 0.250 0.750 0.500 1
O2 O 0.500 0.500 0.000 1
# - DOS(E_F): 1.3496 states/eV/atom
# - Uncorrected formation energy: 365 meV per atom
# - E_tot: -6.060 eV/atom